Density functional theory data (PBE) for a geometry-optimized Ni2SbW structure.

Summary:
N(E_F): 10.520 states/eV per cell
M_tot: 0.00 μB per cell
formation energy from raw total energies: 0.485 eV per atom
E_tot: -6.67 eV per atom

```
data_Ni2SbW
_chemical_formula_sum 'Ni6 Sb3 W3'
_symmetry_space_group_name_H-M 'R 3 m'
_symmetry_Int_Tables_number 160
_symmetry_space_group_name_Hall 'R 3 -2"'
_cell_length_a 3.0217
_cell_length_b 3.0217
_cell_length_c 23.6523
_cell_angle_alpha 90.00
_cell_angle_beta 90.00
_cell_angle_gamma 120.00
loop_
_atom_site_label
_atom_site_fract_x
_atom_site_fract_y
_atom_site_fract_z
Ni1 0.0000 0.0000 0.0000
Ni2 0.0000 0.0000 0.2555
Sb1 0.0000 0.0000 0.5084
W1 0.0000 0.0000 0.7422
```

=====

Density functional theory data (PBE) for a geometry-optimized YSbRu2 structure.

Summary:
N(E_F): 6.915 states/eV per cell
M_tot: 0.00 μB per cell
formation energy from raw total energies: 0.037 eV per atom
E_tot: -7.25 eV per atom

```
data_YSbRu2
_chemical_formula_sum 'Y2 Sb2 Ru4'
_symmetry_space_group_name_H-M 'C 1 2/m 1'
_symmetry_Int_Tables_number 12
_cell_length_a 6.203
_cell_length_b 8.754
_cell_length_c 3.141
_cell_angle_alpha 90.00
_cell_angle_beta 117.52
_cell_angle_gamma 90.00
loop_
_symmetry_equiv_pos_as_xyz
'x,y,z'
'-x,-y,-z'
'-x,y,-z'
'x,-y,z'
'x+1/2,y+1/2,z'
'-x+1/2,-y+1/2,-z'
'-x+1/2,y+1/2,-z'
'x+1/2,-y+1/2,z'
loop_
_atom_site_label
_atom_site_fract_x
_atom_site_fract_y
_atom_site_fract_z
Y1 0.000 0.000 0.000
Sb1 0.000 0.500 0.000
Ru1 0.250 0.250 0.500
```

=====

Density functional theory data (PBE) for a geometry-optimized Pa2Ni12P3Rh structure.

Summary:
N(E_F): 25.057 states/eV per cell
M_tot: 0.00 μB per cell
E_tot: -6.32 eV per atom

```
data_Pa2Ni12P3Rh
_chemical_formula_sum 'Pa6 Ni36 P9 Rh3'
_symmetry_space_group_name_H-M 'R -3 m'
_symmetry_Int_Tables_number 166
_symmetry_space_group_name_Hall '-R 3 2"'
_cell_length_a 8.1282
_cell_length_b 8.1282
_cell_length_c 13.3143
_cell_angle_alpha 90.00
_cell_angle_beta 90.00
_cell_angle_gamma 120.00
loop_
_atom_site_label
_atom_site_fract_x
_atom_site_fract_y
_atom_site_fract_z
Pa1 0.0000 0.0000 0.1160
Ni1 0.0202 0.5101 0.8395
Ni2 0.0324 0.5162 0.3502
P1 0.0000 0.5000 0.0000
Rh1 0.0000 0.0000 0.5000
```

=====

Density functional theory data (PBE) for a geometry-optimized KCSeN2 structure.

Summary:
energy relative to the lowest polymorph listed for this composition: 0 meV per atom
N(E_F): 3.125 states/eV per cell
M_tot: 3.73 μB per cell
formation energy from raw total energies: 2.211 eV per atom
E_tot: -3.88 eV per atom

```
data_KCSeN2
_chemical_formula_sum 'K1 C1 Se1 N2'
_symmetry_space_group_name_H-M 'P 4/m m m'
_symmetry_Int_Tables_number 123
_symmetry_space_group_name_Hall '-P 4 2'
_cell_length_a 4.202
_cell_length_b 4.202
_cell_length_c 4.325
_cell_angle_alpha 90.00
_cell_angle_beta 90.00
_cell_angle_gamma 90.00
loop_
_atom_site_label
_atom_site_fract_x
_atom_site_fract_y
_atom_site_fract_z
K1 0.000 0.000 0.000
C1 0.500 0.500 0.500
Se1 0.500 0.500 0.000
N1 0.000 0.500 0.500
```

=====

Density functional theory data (PBE) for a geometry-optimized Pu3Hf2ZrN6 structure.

Summary:
N(E_F): 40.087 states/eV per cell
M_tot: 28.97 μB per cell
formation energy from raw total energies: -1.555 eV per atom
E_tot: -11.67 eV per atom

```
data_Pu3Hf2ZrN6
_chemical_formula_sum 'Pu6 Hf4 Zr2 N12'
_symmetry_space_group_name_H-M 'C 1 2/m 1'
_symmetry_Int_Tables_number 12
_cell_length_a 5.760
_cell_length_b 9.979
_cell_length_c 5.868
_cell_angle_alpha 90.00
_cell_angle_beta 109.11
_cell_angle_gamma 90.00
loop_
_symmetry_equiv_pos_as_xyz
'x,y,z'
'-x,-y,-z'
'-x,y,-z'
'x,-y,z'
'x+1/2,y+1/2,z'
'-x+1/2,-y+1/2,-z'
'-x+1/2,y+1/2,-z'
'x+1/2,-y+1/2,z'
loop_
_atom_site_label
_atom_site_fract_x
_atom_site_fract_y
_atom_site_fract_z
Pu1 0.000 0.000 0.000
Pu2 0.000 0.335 0.000
Hf1 0.000 0.167 0.500
Zr1 0.000 0.500 0.500
N1 0.236 0.000 0.725
N2 0.245 0.330 0.727
```

=====

Density functional theory data (PBE) for a geometry-optimized Be2TlPC structure.

Summary:
N(E_F): 1.406 states/eV per cell
M_tot: 0.00 μB per cell
E_tot: -4.27 eV per atom

```
data_Be2TlPC
_chemical_formula_sum 'Be2 Tl1 P1 C1'
_symmetry_space_group_name_H-M 'P 4/m m m'
_symmetry_Int_Tables_number 123
_symmetry_space_group_name_Hall '-P 4 2'
_cell_length_a 3.598
_cell_length_b 3.598
_cell_length_c 5.894
_cell_angle_alpha 90.00
_cell_angle_beta 90.00
_cell_angle_gamma 90.00
loop_
_atom_site_label
_atom_site_fract_x
_atom_site_fract_y
_atom_site_fract_z
Be1 0.000 0.500 0.000
Tl1 0.000 0.000 0.500
P1 0.500 0.500 0.500
C1 0.000 0.000 0.000
```